No. 1
A plane-wave DFT calculation with GGA-PBE was carried out for crystalline Tm2FeCo3 at its relaxed geometry.

Energy   -6.688 eV/atom
Calculated volume   181.8 Å³ per cell
Symmetry   P6_3/mmc, No. 194

The structure in extended XYZ format:
```
12
Lattice="5.114 0.000 0.000 -2.557 4.429 0.000 0.000 0.000 8.024" Properties=species:S:1:pos:R:3 pbc="T T T"
Co -1.266 3.684 2.006
Tm 2.557 1.476 3.515
Co 3.823 0.746 6.018
Co 1.266 3.684 2.006
Tm 0.000 2.953 4.509
Fe 0.000 0.000 4.012
Fe 0.000 0.000 0.000
Tm 2.557 1.476 0.497
Co 1.291 0.746 6.018
Tm 0.000 2.953 7.527
Co 0.000 1.491 2.006
Co 2.557 2.938 6.018
```


No. 2
A plane-wave DFT calculation with GGA-PBE was carried out for crystalline CaAgPtF6 at its relaxed geometry.

Energy   -4.447 eV/atom
Calculated volume   289.3 Å³ per cell
Uncorrected formation energy   -1989 meV per atom
Symmetry   P-31c, No. 163

The structure in extended XYZ format:
```
18
Lattice="-2.815 -4.436 2.646 5.698 -0.528 -1.362 2.397 3.621 8.623" Properties=species:S:1:pos:R:3 pbc="T T T"
F 5.843 -0.201 7.803
Ag 1.199 1.811 4.311
Ag 0.000 0.000 0.000
F 1.786 -0.481 3.644
Ca 3.460 -0.925 2.129
F 3.536 2.000 5.049
F -0.480 -4.015 3.287
F 3.195 1.426 7.856
F -0.562 -1.142 2.103
F 3.495 -0.862 6.262
F 2.086 -2.769 2.050
F 6.123 0.276 5.054
Pt 4.658 0.885 6.441
F 1.745 -3.343 4.857
Ca 1.821 -0.417 7.777
F -0.842 -1.619 4.853
F 5.760 2.672 6.620
Pt 0.622 -2.228 3.465
```


No. 3
A plane-wave DFT calculation with GGA-PBE was carried out for crystalline FePC3 at its relaxed geometry.

Energy   -7.874 eV/atom
Calculated volume   91.7 Å³ per cell
Symmetry   Cm, No. 8

The structure in extended XYZ format:
```
10
Lattice="-5.060 0.898 -1.247 0.341 -1.136 -2.200 -1.373 -6.136 2.954" Properties=species:S:1:pos:R:3 pbc="T T T"
Fe -5.566 -2.799 -0.837
C -1.549 -0.379 -1.464
C -2.135 -2.750 -0.331
C -3.282 -3.997 1.555
C -2.425 -1.497 -1.023
P -4.193 -1.200 -1.449
Fe -5.050 0.837 -1.214
C -2.406 -2.879 1.113
C -2.992 -5.250 2.246
P -5.050 -3.701 1.128
```


No. 4
A plane-wave DFT calculation with GGA-PBE was carried out for crystalline Pr2Al2Hg at its relaxed geometry.

Energy   -3.894 eV/atom
Calculated volume   260.4 Å³ per cell
Symmetry   C2/m, No. 12

The structure in extended XYZ format:
```
10
Lattice="-1.582 3.278 -2.991 1.237 -1.325 -5.818 -9.514 -2.912 -1.870" Properties=species:S:1:pos:R:3 pbc="T T T"
Pr -3.820 0.892 -4.423
Al -4.767 0.809 -7.723
Al -5.092 -1.768 -2.955
Hg -7.064 -0.024 -3.710
Pr -9.741 -0.014 -5.994
Pr -6.038 -1.851 -6.256
Al -1.500 0.685 -2.166
Pr -0.117 -0.945 -4.684
Hg -2.795 -0.936 -6.968
Al -8.359 -1.644 -8.512
```